1.
A plane-wave DFT calculation with meta-GGA SCAN was carried out for a PBEsol-optimized structure of HgS2O7.

* ΔE_f (raw): -1221 meV per atom

Cell lengths 5.240, 13.090, 9.649 Å; angles 90.00, 120.80, 90.00 degrees
Space group P2_1/c (No. 14)
Inequivalent atoms, fractional coordinates:
1 Hg 0.136 0.154 0.326 [4 per cell]
2 S 0.270 0.681 0.594 [4 per cell]
3 S 0.363 0.022 0.691 [4 per cell]
4 O 0.012 0.172 0.057 [4 per cell]
5 O 0.204 0.514 0.269 [4 per cell]
6 O 0.221 0.109 0.584 [4 per cell]
7 O 0.248 0.742 0.715 [4 per cell]
8 O 0.317 0.563 0.660 [4 per cell]
9 O 0.455 0.559 0.122 [4 per cell]
10 O 0.473 0.205 0.920 [4 per cell]

2.
A plane-wave DFT calculation with meta-GGA SCAN was carried out for a PBEsol-optimized structure of La3AlC.

* energy above the most stable polymorph in this dataset: 0 meV/atom
* ΔH_f (0 K): -271 meV per atom

Cell lengths 5.132, 5.132, 5.132 Å; angles 90.00, 90.00, 90.00 degrees
Space group Pm-3m (No. 221)
Inequivalent atoms, fractional coordinates:
1 La 0.000 0.000 0.500 [3 per cell]
2 Al 0.500 0.500 0.500 [1 per cell]
3 C 0.000 0.000 0.000 [1 per cell]